ReTe2Pt | PBE-GGA | optimized geometry

Cell and atoms, written as POSCAR:
```
ReTe2Pt
1.0
7.3206 0.0528 -0.0307
5.1203 5.2323 0.0307
-6.2163 -2.6524 2.8139
Te Pt Re
2 1 1
Direct
0.6114 0.6114 0.0000 Te
0.8886 0.8886 0.0000 Te
0.2500 0.7500 0.5000 Pt
0.7500 0.2500 0.5000 Re
```

Computed properties:
Formation energy (no corrections) (meV per atom): 277.6
Energy above the most stable polymorph in this dataset (meV/atom): 70
D(E_F) (states/eV/atom): 0.551
SG: Immm (71)
Uncorrected energy (eV per atom): -5.92